No. 1
{"formula": "Y2GaPt", "functional": "GGA-PBE", "state": "optimized geometry", "e_form_ev_per_atom": -0.956, "lattice_angstrom": [[5.915, 0.000, 0.000], [0.000, 4.403, 0.000], [-2.788, 0.000, 7.132]], "species": ["Y", "Y", "Y", "Y", "Ga", "Ga", "Pt", "Pt"], "fractional_positions": [[0.178, 0.250, 0.412], [0.271, 0.750, 0.067], [0.729, 0.250, 0.933], [0.822, 0.750, 0.588], [0.384, 0.750, 0.705], [0.616, 0.250, 0.295], [0.152, 0.250, 0.791], [0.848, 0.750, 0.209]]}


No. 2
{"formula": "Y2GaPt", "functional": "GGA-PBE", "state": "optimized geometry", "e_form_ev_per_atom": -0.904, "lattice_angstrom": [[3.563, 0.000, 0.000], [0.000, 3.563, 0.000], [0.000, 0.000, 7.026]], "species": ["Y", "Y", "Ga", "Pt"], "fractional_positions": [[0.000, 0.000, 0.240], [0.000, 0.000, 0.760], [0.500, 0.500, 0.500], [0.500, 0.500, 0.000]]}


No. 3
{"formula": "YGa3Pt", "functional": "GGA-PBE", "state": "optimized geometry", "relative_energy_mev_per_atom": 1883, "e_form_ev_per_atom": 1.133, "lattice_angstrom": [[5.347, 0.000, 0.000], [0.000, 5.347, 0.000], [0.000, 0.000, 5.347]], "species": ["Y", "Ga", "Ga", "Ga", "Pt"], "fractional_positions": [[0.000, 0.000, 0.000], [0.000, 0.000, 0.500], [0.000, 0.500, 0.000], [0.500, 0.000, 0.000], [0.500, 0.500, 0.500]]}


No. 4
{"formula": "Y3Ga5Pt6", "functional": "GGA-PBE", "state": "optimized geometry", "e_form_ev_per_atom": -0.968, "lattice_angstrom": [[4.310, 0.000, 0.000], [0.000, 13.277, 0.000], [0.000, 0.000, 8.996]], "species": ["Y", "Y", "Y", "Y", "Y", "Y", "Ga", "Ga", "Ga", "Ga", "Ga", "Ga", "Ga", "Ga", "Ga", "Ga", "Pt", "Pt", "Pt", "Pt", "Pt", "Pt", "Pt", "Pt", "Pt", "Pt", "Pt", "Pt"], "fractional_positions": [[0.250, 0.061, 0.244], [0.250, 0.439, 0.244], [0.250, 0.750, 0.239], [0.750, 0.250, 0.761], [0.750, 0.561, 0.756], [0.750, 0.939, 0.756], [0.250, 0.077, 0.884], [0.250, 0.423, 0.884], [0.250, 0.626, 0.524], [0.250, 0.750, 0.769], [0.250, 0.874, 0.524], [0.750, 0.126, 0.476], [0.750, 0.250, 0.231], [0.750, 0.374, 0.476], [0.750, 0.577, 0.116], [0.750, 0.923, 0.116], [0.250, 0.062, 0.605], [0.250, 0.250, 0.022], [0.250, 0.250, 0.435], [0.250, 0.438, 0.605], [0.250, 0.614, 0.977], [0.250, 0.886, 0.977], [0.750, 0.114, 0.023], [0.750, 0.386, 0.023], [0.750, 0.562, 0.395], [0.750, 0.750, 0.565], [0.750, 0.750, 0.978], [0.750, 0.938, 0.395]]}


No. 5
{"formula": "Y2GaPt9", "functional": "GGA-PBE", "state": "optimized geometry", "e_form_ev_per_atom": -0.803, "lattice_angstrom": [[4.091, 0.000, 0.000], [0.000, 4.091, 0.000], [0.000, 0.000, 12.095]], "species": ["Y", "Y", "Ga", "Pt", "Pt", "Pt", "Pt", "Pt", "Pt", "Pt", "Pt", "Pt"], "fractional_positions": [[0.000, 0.000, 0.172], [0.000, 0.000, 0.828], [0.000, 0.000, 0.500], [0.000, 0.500, 0.000], [0.000, 0.500, 0.346], [0.000, 0.500, 0.654], [0.500, 0.000, 0.000], [0.500, 0.000, 0.346], [0.500, 0.000, 0.654], [0.500, 0.500, 0.174], [0.500, 0.500, 0.500], [0.500, 0.500, 0.826]]}


No. 6
{"formula": "Y2Ga2Pt", "functional": "GGA-PBE", "state": "optimized geometry", "relative_energy_mev_per_atom": 76, "e_form_ev_per_atom": -0.847, "lattice_angstrom": [[7.032, 0.000, 0.000], [0.000, 7.032, 0.000], [0.000, 0.000, 4.409]], "species": ["Y", "Y", "Y", "Y", "Ga", "Ga", "Ga", "Ga", "Pt", "Pt"], "fractional_positions": [[0.173, 0.327, 0.000], [0.327, 0.827, 0.000], [0.673, 0.173, 0.000], [0.827, 0.673, 0.000], [0.132, 0.632, 0.500], [0.368, 0.132, 0.500], [0.632, 0.868, 0.500], [0.868, 0.368, 0.500], [0.000, 0.000, 0.500], [0.500, 0.500, 0.500]]}